Crystalline Hf2AgIr at its relaxed geometry, computed with GGA-PBE.

Summary:
calculated total energy: -0.6139 Ry/atom
formation energy from the elements: -0.45 eV/atom

a b c (Å): 3.2716 3.2716 7.0083
angles (deg): 90.00 90.00 90.00
Element x y z (fractional)
Hf1 0.0000 0.0000 0.7684
Hf2 0.0000 0.0000 0.2316
Ag1 0.5000 0.5000 0.5000
Ir1 0.5000 0.5000 0.0000



Crystalline La5ErSn2 at its relaxed geometry, computed with GGA-PBE.

Summary:
calculated total energy: -0.3669 Ry/atom
formation energy from the elements: -0.34 eV/atom

a b c (Å): 4.4313 6.5995 19.3370
angles (deg): 90.00 90.00 109.62
Element x y z (fractional)
La1 0.4253 0.8506 0.7500
La2 0.6407 0.2814 0.5251
La3 0.6407 0.2814 0.9749
La4 0.3593 0.7186 0.4749
La5 0.0366 0.0732 0.1175
La6 0.5747 0.1494 0.2500
La7 0.3593 0.7186 0.0251
La8 0.9634 0.9268 0.8825
La9 0.9634 0.9268 0.6175
La10 0.0366 0.0732 0.3825
Sn1 0.2457 0.4914 0.6336
Sn2 0.2457 0.4914 0.8664
Sn3 0.7543 0.5086 0.1336
Sn4 0.7543 0.5086 0.3664
Er1 0.2955 0.5911 0.2500
Er2 0.7045 0.4089 0.7500



Crystalline MgZn8Rh2 at its relaxed geometry, computed with GGA-PBE.

Summary:
calculated total energy: -0.1938 Ry/atom
formation energy from the elements: -0.23 eV/atom

a b c (Å): 4.2418 6.8335 6.8102
angles (deg): 115.32 108.15 90.00
Element x y z (fractional)
Zn1 0.1318 0.2549 0.2636
Zn2 0.8682 0.7451 0.7364
Zn3 0.7073 0.8942 0.4146
Zn4 0.2927 0.1058 0.5854
Zn5 0.0603 0.7330 0.1206
Zn6 0.9397 0.2670 0.8794
Zn7 0.6019 0.4746 0.2038
Zn8 0.3981 0.5254 0.7962
Rh1 0.2479 0.6899 0.4958
Rh2 0.7521 0.3101 0.5042
Mg1 0.5000 0.0000 0.0000



Crystalline Dy2Fe4Si9 at its relaxed geometry, computed with GGA-PBE.

Summary:
calculated total energy: -0.4753 Ry/atom
energy relative to the elements, uncorrected: -33.02 kJ per mole of atoms

a b c (Å): 3.9461 3.9461 16.0502
angles (deg): 90.00 90.00 120.00
Element x y z (fractional)
Fe1 0.3333 0.6667 0.8989
Fe2 0.3333 0.6667 0.5886
Fe3 0.6667 0.3333 0.1011
Fe4 0.6667 0.3333 0.4114
Dy1 0.3333 0.6667 0.2421
Dy2 0.6667 0.3333 0.7579
Si1 0.6667 0.3333 0.9570
Si2 0.0000 0.0000 0.8737
Si3 0.0000 0.0000 0.1263
Si4 0.0000 0.0000 0.5000
Si5 0.0000 0.0000 0.6496
Si6 0.3333 0.6667 0.0430
Si7 0.0000 0.0000 0.3504
Si8 0.3333 0.6667 0.4336
Si9 0.6667 0.3333 0.5664